Entry 1:
DFT (GGA-PBE) results for an optimized crystal structure of CaAlNiGe2.

Lattice parameters (Å, degrees): 5.280 5.280 5.422 90.00 90.00 90.00
Space group P4/mmm (No. 123)
Symmetry-distinct sites (fractional):
Ca: 0.000 0.000 0.000 [1 per cell]
Al: 0.000 0.000 0.500 [1 per cell]
Ni: 0.500 0.500 0.500 [1 per cell]
Ge: 0.000 0.500 0.000 [2 per cell]

Output
The value obtained for the total magnetization is 0.664 μB/cell. As for the crystal system: tetragonal. For the density of states at the Fermi level, the calculation gives 8.0 states/eV/cell. The electronic total energy comes out at -13.12 eV for the cell shown.

***

Entry 2:
DFT (GGA-PBE) results for an optimized crystal structure of In2Sb2Pd.

Lattice parameters (Å, degrees): 7.235 7.235 4.938 90.00 90.00 90.00
Space group P4/mbm (No. 127)
Symmetry-distinct sites (fractional):
In: 0.162 0.338 0.000 [4 per cell]
Sb: 0.145 0.645 0.500 [4 per cell]
Pd: 0.000 0.000 0.000 [2 per cell]

Output
The value obtained for the total magnetization is 0.000 μB/cell. As for the crystal system: tetragonal. For the distance to the lowest polymorph of the same formula, the calculation gives 0.81 eV per formula unit. For the density of states at the Fermi level, the calculation gives 5.3 states/eV/cell.

***

Entry 3:
DFT (GGA-PBE) results for an optimized crystal structure of Pa3As2S2.

Lattice parameters (Å, degrees): 14.919 4.127 6.847 90.00 115.91 90.00
Space group C2/m (No. 12)
Symmetry-distinct sites (fractional):
Pa: 0.000 0.000 0.000 [2 per cell]
Pa: 0.235 0.500 0.745 [4 per cell]
As: 0.130 0.500 0.274 [4 per cell]
S: 0.130 0.000 0.812 [4 per cell]

Output
The value obtained for the total magnetization is 6.150 μB/cell. As for the crystal system: monoclinic. For the density of states at the Fermi level, the calculation gives 22.0 states/eV/cell. The electronic total energy comes out at -107.38 eV for the cell shown.

***

Entry 4:
DFT (GGA-PBE) results for an optimized crystal structure of Zn2InSbP.

Lattice parameters (Å, degrees): 4.899 4.899 5.842 90.00 90.00 90.00
Space group P4/mmm (No. 123)
Symmetry-distinct sites (fractional):
Zn: 0.000 0.500 0.000 [2 per cell]
In: 0.000 0.000 0.000 [1 per cell]
Sb: 0.000 0.000 0.500 [1 per cell]
P: 0.500 0.500 0.500 [1 per cell]

Output
The value obtained for the total magnetization is 0.259 μB/cell. As for the crystal system: tetragonal. For the density of states at the Fermi level, the calculation gives 3.7 states/eV/cell. The electronic total energy comes out at -10.49 eV for the cell shown.

***

Entry 5:
DFT (GGA-PBE) results for an optimized crystal structure of NpHgS.

Lattice parameters (Å, degrees): 7.972 7.972 5.423 90.00 90.00 90.00
Space group P4_2/mmc (No. 131)
Symmetry-distinct sites (fractional):
Np: 0.000 0.245 0.000 [4 per cell]
Hg: 0.313 0.500 0.000 [4 per cell]
S: 0.000 0.239 0.500 [4 per cell]

Output
The value obtained for the total magnetization is 19.448 μB/cell. As for the crystal system: tetragonal. For the distance to the lowest polymorph of the same formula, the calculation gives 0.00 eV per formula unit. For the density of states at the Fermi level, the calculation gives 36.6 states/eV/cell.

***

Entry 6:
DFT (GGA-PBE) results for an optimized crystal structure of NpPa2Bi.

Lattice parameters (Å, degrees): 3.7341 3.7341 28.2260 90.00 90.00 120.00
Space group R-3m (No. 166, hexagonal axes)
Symmetry-distinct sites (fractional):
Np: 0.0000 0.0000 0.0000 [3 per cell]
Pa: 0.0000 0.0000 0.3858 [6 per cell]
Bi: 0.0000 0.0000 0.5000 [3 per cell]

Output
The value obtained for the total magnetization is 0.000 μB/cell. As for the crystal system: trigonal. For the distance to the lowest polymorph of the same formula, the calculation gives 1.67 eV per formula unit. For the density of states at the Fermi level, the calculation gives 26.4 states/eV/cell.